1.
Compound: SrCuF5
Source: Alexandria
Functional: PBE-GGA
Structure: optimized geometry

Cell lengths 5.3682, 5.3682, 8.3303 Å; angles 110.41, 110.41, 67.02 degrees
Fractional coordinates of all 14 atoms:
Sr1 0.0225 0.9775 0.7500
Sr2 0.9775 0.0225 0.2500
Cu1 0.5000 0.5000 0.0000
Cu2 0.5000 0.5000 0.5000
F1 0.1189 0.7098 0.9773
F2 0.1710 0.4189 0.3868
F3 0.2902 0.8811 0.5227
F4 0.4189 0.1710 0.8868
F5 0.4584 0.5416 0.7500
F6 0.5416 0.4584 0.2500
F7 0.5811 0.8290 0.1132
F8 0.7098 0.1189 0.4773
F9 0.8290 0.5811 0.6132
F10 0.8811 0.2902 0.0227

Output
crystal system = monoclinic
DFT total energy = -4.61 eV per atom
energy relative to the elements, uncorrected = -17.1 eV per formula unit
DOS at the Fermi energy = 3.45 states/eV/f.u.

2.
Compound: Tm5InCu
Source: Alexandria
Functional: PBE-GGA
Structure: optimized geometry

Cell lengths 6.4301, 6.4301, 11.1146 Å; angles 103.97, 103.97, 61.04 degrees
Fractional coordinates of all 14 atoms:
Tm1 0.0464 0.9536 0.7500
Tm2 0.0652 0.3879 0.6427
Tm3 0.2211 0.5203 0.9507
Tm4 0.3879 0.0652 0.1427
Tm5 0.4797 0.7789 0.5493
Tm6 0.5203 0.2211 0.4507
Tm7 0.6121 0.9348 0.8573
Tm8 0.7789 0.4797 0.0493
Tm9 0.9348 0.6121 0.3573
Tm10 0.9536 0.0464 0.2500
In1 0.4428 0.5572 0.2500
In2 0.5572 0.4428 0.7500
Cu1 0.0000 0.0000 0.0000
Cu2 0.0000 0.0000 0.5000

Output
crystal system = monoclinic
DFT total energy = -4.20 eV per atom
formation energy from the elements = -0.033 eV/atom
DOS at the Fermi energy = 9.19 states/eV/f.u.

3.
Compound: Tb2Pm3Nd6Cd
Source: Alexandria
Functional: PBE-GGA
Structure: optimized geometry

Cell lengths 6.2776, 6.2776, 11.8879 Å; angles 95.12, 95.12, 120.14 degrees
Fractional coordinates of all 12 atoms:
Tb1 0.1665 0.8335 0.0000
Tb2 0.8335 0.1665 0.0000
Pm1 0.0000 0.0000 0.5000
Pm2 0.3329 0.6671 0.5000
Pm3 0.6671 0.3329 0.5000
Nd1 0.0911 0.4203 0.7556
Nd2 0.2511 0.2511 0.2463
Nd3 0.4203 0.0911 0.7556
Nd4 0.5797 0.9089 0.2444
Nd5 0.7489 0.7489 0.7537
Nd6 0.9089 0.5797 0.2444
Cd1 0.5000 0.5000 0.0000

Output
crystal system = monoclinic
DFT total energy = -4.42 eV per atom
formation energy from the elements = 0.001 eV/atom
DOS at the Fermi energy = 14.73 states/eV/f.u.